Computed, not measured: a relaxed structure of HfNb4S8 at the PBE-GGA level of DFT.

Computed properties:
energy = -7.506 eV/atom
uncorrected formation energy = -1.102 eV/atom

Cell lengths 7.284, 7.284, 7.284 Å; angles 55.93, 55.93, 55.93 degrees
Element x y z (fractional)
Hf  0.000  0.000  0.000
Nb  0.000  0.000  0.500
Nb  0.000  0.500  0.000
Nb  0.500  0.000  0.000
Nb  0.500  0.500  0.500
S  0.250  0.250  0.250
S  0.252  0.252  0.738
S  0.252  0.738  0.252
S  0.262  0.748  0.748
S  0.738  0.252  0.252
S  0.748  0.262  0.748
S  0.748  0.748  0.262
S  0.750  0.750  0.750


Computed, not measured: a relaxed structure of HfNbS6 at the PBE-GGA level of DFT.

Computed properties:
energy = -6.258 eV/atom
uncorrected formation energy = -0.660 eV/atom

Cell lengths 5.884, 6.107, 6.107 Å; angles 67.85, 61.51, 69.70 degrees
Element x y z (fractional)
Hf  0.000  0.000  0.000
Nb  0.500  0.500  0.500
S  0.045  0.641  0.831
S  0.325  0.744  0.184
S  0.335  0.146  0.534
S  0.665  0.854  0.466
S  0.675  0.256  0.816
S  0.955  0.359  0.169


Computed, not measured: a relaxed structure of Hf2Nb2S7 at the PBE-GGA level of DFT.

Computed properties:
energy = -7.304 eV/atom
uncorrected formation energy = -1.037 eV/atom

Cell lengths 6.404, 6.404, 6.940 Å; angles 92.30, 92.30, 108.95 degrees
Element x y z (fractional)
Hf  0.215  0.215  0.128
Hf  0.785  0.785  0.872
Nb  0.140  0.860  0.500
Nb  0.860  0.140  0.500
S  0.069  0.459  0.310
S  0.112  0.112  0.766
S  0.459  0.069  0.310
S  0.500  0.500  0.000
S  0.541  0.931  0.690
S  0.888  0.888  0.234
S  0.931  0.541  0.690


Computed, not measured: a relaxed structure of HfNbS at the PBE-GGA level of DFT.

Computed properties:
energy = -8.671 eV/atom
uncorrected formation energy = -0.621 eV/atom

Cell lengths 3.382, 3.382, 9.551 Å; angles 90.00, 90.00, 90.00 degrees
Element x y z (fractional)
Hf  0.250  0.250  0.096
Hf  0.750  0.750  0.904
Nb  0.250  0.250  0.706
Nb  0.750  0.750  0.294
S  0.250  0.250  0.386
S  0.750  0.750  0.614


Computed, not measured: a relaxed structure of Hf4Nb2S at the PBE-GGA level of DFT.

Computed properties:
energy = -8.849 eV/atom
uncorrected formation energy = 0.305 eV/atom

Cell lengths 4.608, 4.608, 14.960 Å; angles 90.00, 90.00, 90.00 degrees
Element x y z (fractional)
Hf  0.000  0.000  0.165
Hf  0.000  0.000  0.835
Hf  0.000  0.500  0.000
Hf  0.000  0.500  0.500
Hf  0.500  0.000  0.000
Hf  0.500  0.000  0.500
Hf  0.500  0.500  0.335
Hf  0.500  0.500  0.665
Nb  0.000  0.000  0.356
Nb  0.000  0.000  0.644
Nb  0.500  0.500  0.144
Nb  0.500  0.500  0.856
S  0.000  0.000  0.000
S  0.500  0.500  0.500


Computed, not measured: a relaxed structure of HfNb2S at the PBE-GGA level of DFT.

Computed properties:
energy = -8.770 eV/atom
uncorrected formation energy = -0.215 eV/atom

Cell lengths 7.818, 7.818, 5.046 Å; angles 90.00, 90.00, 90.00 degrees
Element x y z (fractional)
Hf  0.000  0.000  0.000
Hf  0.000  0.500  0.250
Hf  0.500  0.000  0.750
Hf  0.500  0.500  0.500
Nb  0.161  0.250  0.625
Nb  0.250  0.661  0.875
Nb  0.250  0.839  0.375
Nb  0.339  0.250  0.125
Nb  0.661  0.750  0.125
Nb  0.750  0.161  0.375
Nb  0.750  0.339  0.875
Nb  0.839  0.750  0.625
S  0.000  0.000  0.500
S  0.000  0.500  0.750
S  0.500  0.000  0.250
S  0.500  0.500  0.000


Computed, not measured: a relaxed structure of HfNb2Se4S2 at the PBE-GGA level of DFT.

Computed properties:
energy = -6.835 eV/atom
uncorrected formation energy = -1.025 eV/atom

Cell lengths 3.503, 3.503, 21.479 Å; angles 90.00, 90.00, 120.00 degrees
Element x y z (fractional)
Hf  0.000  0.000  0.000
Nb  0.000  0.000  0.653
Nb  0.667  0.333  0.322
Se  0.000  0.000  0.244
Se  0.000  0.000  0.400
Se  0.667  0.333  0.575
Se  0.667  0.333  0.731
S  0.667  0.333  0.073
S  0.667  0.333  0.927


Computed, not measured: a relaxed structure of HfNbSiS2 at the PBE-GGA level of DFT.

Computed properties:
energy = -6.085 eV/atom
uncorrected formation energy = 0.655 eV/atom

Cell lengths 4.719, 4.719, 5.492 Å; angles 90.00, 90.00, 90.00 degrees
Element x y z (fractional)
Hf  0.000  0.000  0.000
Nb  0.000  0.000  0.500
Si  0.500  0.500  0.500
S  0.000  0.500  0.000
S  0.500  0.000  0.000


Computed, not measured: a relaxed structure of HfNbTc2S at the PBE-GGA level of DFT.

Computed properties:
energy = -8.965 eV/atom
uncorrected formation energy = 0.011 eV/atom

Cell lengths 4.403, 4.403, 4.536 Å; angles 90.00, 90.00, 90.00 degrees
Element x y z (fractional)
Hf  0.000  0.000  0.000
Nb  0.500  0.500  0.000
Tc  0.000  0.500  0.500
Tc  0.500  0.000  0.500
S  0.500  0.500  0.500


Computed, not measured: a relaxed structure of HfNbTeS2 at the PBE-GGA level of DFT.

Computed properties:
energy = -6.217 eV/atom
uncorrected formation energy = 0.067 eV/atom

Cell lengths 4.673, 4.673, 5.619 Å; angles 90.00, 90.00, 90.00 degrees
Element x y z (fractional)
Hf  0.000  0.000  0.000
Nb  0.500  0.500  0.500
Te  0.500  0.500  0.000
S  0.000  0.500  0.500
S  0.500  0.000  0.500


Computed, not measured: a relaxed structure of Hf2NbSb2 at the PBE-GGA level of DFT.

Computed properties:
energy = -7.930 eV/atom
offset from the most stable computed form = 29 meV/atom
uncorrected formation energy = -0.286 eV/atom

Cell lengths 7.456, 7.456, 3.880 Å; angles 90.00, 90.00, 90.00 degrees
Element x y z (fractional)
Hf  0.154  0.346  0.000
Hf  0.346  0.846  0.000
Hf  0.654  0.154  0.000
Hf  0.846  0.654  0.000
Nb  0.000  0.000  0.500
Nb  0.500  0.500  0.500
Sb  0.148  0.648  0.500
Sb  0.352  0.148  0.500
Sb  0.648  0.852  0.500
Sb  0.852  0.352  0.500


Computed, not measured: a relaxed structure of Hf4NbSb2 at the PBE-GGA level of DFT.

Computed properties:
energy = -8.493 eV/atom
uncorrected formation energy = -0.189 eV/atom

Cell lengths 7.425, 5.817, 7.848 Å; angles 90.00, 115.73, 90.00 degrees
Element x y z (fractional)
Hf  0.016  0.250  0.498
Hf  0.172  0.000  0.231
Hf  0.172  0.500  0.231
Hf  0.312  0.250  0.928
Hf  0.688  0.750  0.072
Hf  0.828  0.000  0.769
Hf  0.828  0.500  0.769
Hf  0.984  0.750  0.502
Nb  0.408  0.750  0.675
Nb  0.592  0.250  0.325
Sb  0.218  0.750  0.919
Sb  0.436  0.250  0.606
Sb  0.564  0.750  0.394
Sb  0.782  0.250  0.081


Computed, not measured: a relaxed structure of HfNb2Sb2 at the PBE-GGA level of DFT.

Computed properties:
energy = -7.807 eV/atom
uncorrected formation energy = -0.140 eV/atom

Cell lengths 7.779, 7.779, 3.430 Å; angles 90.00, 90.00, 90.00 degrees
Element x y z (fractional)
Hf  0.000  0.000  0.000
Hf  0.500  0.500  0.000
Nb  0.142  0.358  0.500
Nb  0.358  0.858  0.500
Nb  0.642  0.142  0.500
Nb  0.858  0.642  0.500
Sb  0.152  0.652  0.000
Sb  0.348  0.152  0.000
Sb  0.652  0.848  0.000
Sb  0.848  0.348  0.000


Computed, not measured: a relaxed structure of Hf2NbSb2 at the PBE-GGA level of DFT.

Computed properties:
energy = -7.959 eV/atom
offset from the most stable computed form = 0 meV/atom
uncorrected formation energy = -0.315 eV/atom

Cell lengths 8.849, 8.849, 6.853 Å; angles 90.00, 90.00, 154.87 degrees
Element x y z (fractional)
Hf  0.022  0.978  0.500
Hf  0.183  0.817  0.944
Hf  0.817  0.183  0.444
Hf  0.978  0.022  0.000
Nb  0.403  0.597  0.709
Nb  0.597  0.403  0.209
Sb  0.190  0.810  0.397
Sb  0.426  0.574  0.286
Sb  0.574  0.426  0.786
Sb  0.810  0.190  0.897


Computed, not measured: a relaxed structure of HfNbSb at the PBE-GGA level of DFT.

Computed properties:
energy = -8.052 eV/atom
uncorrected formation energy = -0.003 eV/atom

Cell lengths 4.963, 4.963, 2.961 Å; angles 90.00, 90.00, 120.00 degrees
Element x y z (fractional)
Hf  0.000  0.000  0.000
Nb  0.333  0.667  0.500
Sb  0.667  0.333  0.500


Computed, not measured: a relaxed structure of Hf2Nb2Sb at the PBE-GGA level of DFT.

Computed properties:
energy = -8.758 eV/atom
uncorrected formation energy = 0.076 eV/atom

Cell lengths 7.199, 7.199, 4.150 Å; angles 90.00, 90.00, 90.00 degrees
Element x y z (fractional)
Hf  0.171  0.329  0.000
Hf  0.329  0.829  0.000
Hf  0.671  0.171  0.000
Hf  0.829  0.671  0.000
Nb  0.128  0.628  0.500
Nb  0.372  0.128  0.500
Nb  0.628  0.872  0.500
Nb  0.872  0.372  0.500
Sb  0.000  0.000  0.500
Sb  0.500  0.500  0.500


Computed, not measured: a relaxed structure of Hf5NbSb5 at the PBE-GGA level of DFT.

Computed properties:
energy = -7.460 eV/atom
uncorrected formation energy = -0.146 eV/atom

Cell lengths 6.986, 6.986, 7.838 Å; angles 105.22, 105.22, 47.04 degrees
Element x y z (fractional)
Hf  0.000  0.000  0.000
Hf  0.335  0.335  0.148
Hf  0.414  0.414  0.814
Hf  0.586  0.586  0.186
Hf  0.665  0.665  0.852
Nb  0.000  0.000  0.500
Sb  0.173  0.173  0.346
Sb  0.178  0.178  0.805
Sb  0.500  0.500  0.500
Sb  0.822  0.822  0.195
Sb  0.827  0.827  0.654


Computed, not measured: a relaxed structure of HfNbSb at the PBE-GGA level of DFT.

Computed properties:
energy = -8.321 eV/atom
uncorrected formation energy = -0.273 eV/atom

Cell lengths 5.173, 5.158, 5.289 Å; angles 90.00, 119.21, 90.00 degrees
Element x y z (fractional)
Hf  0.086  0.250  0.173
Hf  0.914  0.750  0.827
Nb  0.423  0.250  0.847
Nb  0.577  0.750  0.153
Sb  0.249  0.750  0.497
Sb  0.751  0.250  0.503


Computed, not measured: a relaxed structure of HfNbSb at the PBE-GGA level of DFT.

Computed properties:
energy = -8.343 eV/atom
uncorrected formation energy = -0.295 eV/atom

Cell lengths 3.641, 3.641, 9.280 Å; angles 90.00, 90.00, 90.00 degrees
Element x y z (fractional)
Hf  0.000  0.000  0.000
Hf  0.500  0.500  0.500
Nb  0.000  0.000  0.335
Nb  0.500  0.500  0.835
Sb  0.000  0.000  0.675
Sb  0.500  0.500  0.175


Computed, not measured: a relaxed structure of HfNbSb at the PBE-GGA level of DFT.

Computed properties:
energy = -8.445 eV/atom
uncorrected formation energy = -0.397 eV/atom

Cell lengths 3.672, 4.452, 7.622 Å; angles 90.00, 90.00, 90.00 degrees
Element x y z (fractional)
Hf  0.250  0.250  0.152
Hf  0.750  0.750  0.848
Nb  0.250  0.750  0.513
Nb  0.750  0.250  0.487
Sb  0.250  0.250  0.773
Sb  0.750  0.750  0.227


Computed, not measured: a relaxed structure of Hf5NbSb4 at the PBE-GGA level of DFT.

Computed properties:
energy = -7.799 eV/atom
uncorrected formation energy = -0.166 eV/atom

Cell lengths 8.455, 8.455, 5.545 Å; angles 98.71, 98.71, 35.05 degrees
Element x y z (fractional)
Hf  0.000  0.000  0.000
Hf  0.256  0.256  0.139
Hf  0.372  0.372  0.689
Hf  0.628  0.628  0.311
Hf  0.744  0.744  0.861
Nb  0.000  0.000  0.500
Sb  0.181  0.181  0.597
Sb  0.439  0.439  0.222
Sb  0.561  0.561  0.778
Sb  0.819  0.819  0.403


Computed, not measured: a relaxed structure of Hf8NbSb2 at the PBE-GGA level of DFT.

Computed properties:
energy = -8.950 eV/atom
uncorrected formation energy = -0.046 eV/atom

Cell lengths 7.660, 7.660, 5.304 Å; angles 101.00, 101.00, 119.77 degrees
Element x y z (fractional)
Hf  0.098  0.314  0.642
Hf  0.211  0.789  0.000
Hf  0.314  0.098  0.642
Hf  0.389  0.389  0.191
Hf  0.611  0.611  0.809
Hf  0.686  0.902  0.358
Hf  0.789  0.211  0.000
Hf  0.902  0.686  0.358
Nb  0.000  0.000  0.000
Sb  0.302  0.698  0.500
Sb  0.698  0.302  0.500


Computed, not measured: a relaxed structure of Hf6NbSb3 at the PBE-GGA level of DFT.

Computed properties:
energy = -8.353 eV/atom
uncorrected formation energy = -0.137 eV/atom

Cell lengths 8.545, 8.545, 6.816 Å; angles 90.00, 90.00, 108.60 degrees
Element x y z (fractional)
Hf  0.031  0.462  0.007
Hf  0.059  0.941  0.500
Hf  0.254  0.381  0.689
Hf  0.263  0.737  0.729
Hf  0.381  0.254  0.189
Hf  0.462  0.031  0.507
Hf  0.538  0.969  0.007
Hf  0.619  0.746  0.689
Hf  0.737  0.263  0.229
Hf  0.746  0.619  0.189
Hf  0.941  0.059  0.000
Hf  0.969  0.538  0.507
Nb  0.244  0.756  0.303
Nb  0.756  0.244  0.803
Sb  0.072  0.269  0.346
Sb  0.269  0.072  0.846
Sb  0.412  0.588  0.036
Sb  0.588  0.412  0.536
Sb  0.731  0.928  0.346
Sb  0.928  0.731  0.846